First-principles (GGA-PBE) data for a relaxed BiOs2RhAu crystal, as listed in Alexandria via LeMat-Bulk.

abc: 4.982 5.163 4.982
angles: 90.00 90.00 90.00
Site moments in Bohr magnetons follow the coordinates.
Fractional positions:
Bi  0.000  0.000  0.000  -0.04
Os  0.500  0.000  0.000  1.32
Os  0.000  0.000  0.500  1.14
Au  0.000  0.500  0.000  0.01
Rh  0.500  0.500  0.500  1.41

Output
- ΔE_f: 13.49 eV/f.u.
- Calculated volume: 128.13 Å³/f.u.
- Electronic total energy: -23.48 eV/cell
- Space group: No. 123